Entry 1:
DFT (GGA-PBE) results for crystalline TbAl8Ni2 at its relaxed geometry.

extended XYZ file:
```
11
Lattice="-1.715 -3.507 4.008 -3.432 -2.493 -3.649 5.631 -4.945 -1.918" Properties=species:S:1:pos:R:3 pbc="T T T"
Tb 0.243 -5.472 -0.779
Al -2.834 -5.400 -0.080
Al 2.462 -7.298 0.525
Al 0.747 -8.545 -1.299
Al -1.119 -4.154 1.745
Al -1.977 -3.647 -2.084
Al 1.604 -6.791 -3.303
Al -0.261 -2.400 -0.259
Al 3.320 -5.545 -1.479
Ni -0.857 -1.753 2.004
Ni -1.716 -1.246 -1.824
```

Output
As for the crystal system: tetragonal. The value obtained for the total DFT energy (no corrections) is -0.3068 Ry per atom. The energy of formation is 1.88 kJ/mol of atoms.



Entry 2:
DFT (GGA-PBE) results for crystalline CdAgMo2 at its relaxed geometry.

extended XYZ file:
```
4
Lattice="2.727 0.000 0.000 0.000 2.727 0.000 0.000 0.000 9.175" Properties=species:S:1:pos:R:3 pbc="T T T"
Ag 1.363 1.363 2.294
Cd 1.363 1.363 6.882
Mo 0.000 0.000 0.038
Mo 0.000 0.000 4.549
```

Output
As for the crystal system: tetragonal. The value obtained for the total DFT energy (no corrections) is -0.4315 Ry per atom. The energy of formation is 46.94 kJ/mol of atoms.



Entry 3:
DFT (GGA-PBE) results for crystalline CsHgTe4 at its relaxed geometry.

extended XYZ file:
```
6
Lattice="-3.485 -1.899 5.323 3.080 -1.026 5.792 -0.922 4.219 5.043" Properties=species:S:1:pos:R:3 pbc="T T T"
Cs -0.332 0.323 4.039
Te -0.367 -1.313 7.574
Te -2.380 1.326 7.197
Te -0.831 0.810 10.111
Te 0.923 1.765 7.433
Hg 0.000 0.000 0.000
```

Output
The uncorrected formation energy comes out at -0.2173 eV/atom. As for the crystal system: cubic. The value obtained for the total DFT energy (no corrections) is -0.1841 Ry per atom.



Entry 4:
DFT (GGA-PBE) results for crystalline AsPd3Pb2 at its relaxed geometry.

extended XYZ file:
```
12
Lattice="-1.755 2.493 -5.000 -6.100 1.610 2.944 5.341 4.503 0.371" Properties=species:S:1:pos:R:3 pbc="T T T"
Pb -3.793 6.199 -0.326
Pb 1.482 2.121 -0.782
Pb -0.921 4.425 1.211
Pb -1.390 3.895 -2.319
As -2.302 1.210 -0.622
As -0.375 7.629 -1.527
Pd 0.254 6.456 -3.728
Pd -3.644 3.398 -0.455
Pd 3.304 7.028 -4.368
Pd -6.620 2.720 0.396
Pd -3.986 4.503 -3.214
Pd 0.596 5.350 -0.970
```

Output
As for the crystal system: orthorhombic. The value obtained for the total DFT energy (no corrections) is -0.3627 Ry per atom. The energy of formation is -31.64 kJ/mol of atoms.



Entry 5:
DFT (GGA-PBE) results for crystalline AgMo2Cl at its relaxed geometry.

extended XYZ file:
```
4
Lattice="-0.616 2.797 0.722 -1.172 -0.812 -2.587 -7.400 -2.716 4.205" Properties=species:S:1:pos:R:3 pbc="T T T"
Ag -3.615 -1.327 2.054
Cl -6.656 -1.122 2.342
Mo -0.075 -0.027 0.042
Mo -2.543 0.388 0.005
```

Output
The uncorrected formation energy comes out at 0.2468 eV/atom. As for the crystal system: orthorhombic. The value obtained for the total DFT energy (no corrections) is -0.4662 Ry per atom. As for the relative energy among the computed polymorphs: 5.26 kJ per mole of atoms.



Entry 6:
DFT (GGA-PBE) results for crystalline LiSiRu2 at its relaxed geometry.

extended XYZ file:
```
4
Lattice="4.184 -0.212 0.000 0.240 4.182 0.000 -2.212 -1.985 2.952" Properties=species:S:1:pos:R:3 pbc="T T T"
Li 2.092 -0.106 1.476
Ru 0.000 0.000 0.000
Ru 0.120 2.091 1.476
Si 2.212 1.985 0.000
```

Output
The uncorrected formation energy comes out at -0.1511 eV/atom. As for the crystal system: tetragonal. The value obtained for the total DFT energy (no corrections) is -0.4868 Ry per atom.



Entry 7:
DFT (GGA-PBE) results for crystalline Ba2LaTa at its relaxed geometry.

extended XYZ file:
```
4
Lattice="-3.528 2.691 3.038 -2.886 -0.483 4.511 6.106 3.588 5.073" Properties=species:S:1:pos:R:3 pbc="T T T"
La -0.694 2.658 6.030
Ba -5.977 2.374 7.716
Ba -0.554 4.169 9.226
Ta 0.350 1.699 3.509
```

Output
As for the crystal system: monoclinic. The value obtained for the total DFT energy (no corrections) is -0.3264 Ry per atom. The energy of formation is 69.07 kJ/mol of atoms. As for the relative energy among the computed polymorphs: 10.55 kJ per mole of atoms.



Entry 8:
DFT (GGA-PBE) results for crystalline Y3AsC at its relaxed geometry.

extended XYZ file:
```
5
Lattice="4.818 0.000 0.000 0.000 4.818 0.000 0.000 0.000 4.818" Properties=species:S:1:pos:R:3 pbc="T T T"
Y 0.000 2.409 0.000
Y 0.000 0.000 2.409
Y 2.409 0.000 0.000
As 2.409 2.409 2.409
C 0.000 0.000 0.000
```

Output
As for the crystal system: cubic. The value obtained for the total DFT energy (no corrections) is -0.5310 Ry per atom. The energy of formation is -55.18 kJ/mol of atoms.